La2CdPd3Au12 | PBE | relaxed

```
La2CdPd3Au12
1.0
4.408 2.545 6.511
-4.408 2.545 6.511
0.000 -5.089 6.511
La Cd Pd Au
2 1 3 12
Cartesian
0.000 0.000 2.139
0.000 0.000 17.392
0.000 0.000 9.766
-2.204 -1.272 6.511
-2.204 1.272 13.021
0.000 2.545 6.511
-2.303 -1.330 9.172
0.000 -2.346 5.468
-2.032 1.173 5.468
0.000 -2.659 10.359
-2.303 1.330 10.359
-2.032 -1.173 14.063
2.032 1.173 5.468
2.303 -1.330 9.172
0.000 2.659 9.172
2.032 -1.173 14.063
0.000 2.346 14.063
2.303 1.330 10.359
```

## Properties
Space group ... No. 166
Total moment ... 0.0 μB/f.u.
ΔH_f (0 K) ... -11 meV per atom